Record 1
Nb2InOs2 | PBE | optimized geometry

```
Nb2InOs2
1.0
7.826 0.000 0.000
0.000 7.826 0.000
0.000 0.000 2.985
Nb In Os
4 2 4
Direct
0.149 0.351 0.000
0.351 0.851 0.000
0.649 0.149 0.000
0.851 0.649 0.000
0.000 0.000 0.000
0.500 0.500 0.000
0.139 0.639 0.500
0.361 0.139 0.500
0.639 0.861 0.500
0.861 0.361 0.500
```

formation enthalpy at 0 K	0.8	eV/f.u.
energy relative to the lowest polymorph listed for this composition	0.173	eV per atom
electronic total energy	-89.08	eV for the cell shown
total magnetization	0.00	μB per atom
SG	No. 127

---

Record 2
Pu2Pt13 | PBE | optimized geometry

```
Pu2Pt13
1.0
3.660 2.113 6.741
-3.660 2.113 6.741
0.000 -4.226 6.741
Pu Pt
2 13
Direct
0.250 0.250 0.250
0.750 0.750 0.750
0.000 0.000 0.000
0.015 0.015 0.642
0.015 0.642 0.015
0.255 0.255 0.616
0.255 0.616 0.255
0.358 0.985 0.985
0.384 0.745 0.745
0.616 0.255 0.255
0.642 0.015 0.015
0.745 0.384 0.745
0.745 0.745 0.384
0.985 0.358 0.985
0.985 0.985 0.358
```

formation enthalpy at 0 K	0.6	eV/f.u.
electronic total energy	-106.62	eV for the cell shown
total magnetization	0.51	μB per atom
SG	No. 166

---

Record 3
Hf4CoRh3 | PBE | optimized geometry

```
Hf4CoRh3
1.0
-2.278 2.278 6.578
2.278 -2.278 6.578
2.278 2.278 -6.578
Hf Co Rh
4 1 3
Direct
0.123 0.623 0.500
0.377 0.877 0.500
0.623 0.123 0.500
0.877 0.377 0.500
0.000 0.000 0.000
0.247 0.247 0.000
0.500 0.500 0.000
0.753 0.753 0.000
```

formation enthalpy at 0 K	-5.9	eV/f.u.
electronic total energy	-74.88	eV for the cell shown
total magnetization	0.09	μB per atom
SG	No. 139

---

| no. | DOS at the Fermi energy (states/eV/f.u.) |
| --- | --- |
| 1 | 4.1 |
| 2 | 33.0 |
| 3 | 6.3 |